(1)
Material: Ga3I2Cl
Method: DFT, PBE
State: relaxed

The structure belongs to space group Pnma (No. 62); the cell edges are 11.525, 4.498 and 14.931 Å and the angles 90.00°, 90.00° and 90.00°. Symmetry generates all atoms from Ga at (0.081, 0.250, 0.066), Ga at (0.095, 0.750, 0.666), Ga at (0.159, 0.750, 0.356), I at (0.078, 0.250, 0.823), I at (0.214, 0.250, 0.520) and Cl at (0.187, 0.250, 0.226).

For the total magnetization, the calculation gives 0.00 μB per formula unit. Its raw total energy is -2.778 eV/atom. As for the crystal system: orthorhombic. The value obtained for the uncorrected formation energy is -0.4396 eV per atom. Its volume is 774 Å³ per cell. The density of states at the Fermi level is 0.000 states/eV/cell.



(2)
Material: GaI2Cl
Method: DFT, PBE
State: relaxed

The structure belongs to space group Fm-3m (No. 225); the cell edges are 7.702, 7.702 and 7.702 Å and the angles 90.00°, 90.00° and 90.00°. Symmetry generates all atoms from Ga at (0.000, 0.000, 0.000), I at (0.250, 0.250, 0.250) and Cl at (0.000, 0.000, 0.500).

For the total magnetization, the calculation gives 0.00 μB per formula unit. Its raw total energy is -1.849 eV/atom. As for the crystal system: cubic. The value obtained for the uncorrected formation energy is 0.1448 eV per atom. Its volume is 457 Å³ per cell. The density of states at the Fermi level is 47.221 states/eV/cell.



(3)
Material: Ga5I12Cl3
Method: DFT, PBE
State: relaxed

The structure belongs to space group Ia-3d (No. 230); the cell edges are 18.313, 18.313 and 18.313 Å and the angles 90.00°, 90.00° and 90.00°. Symmetry generates all atoms from Ga at (0.000, 0.000, 0.000), Ga at (0.000, 0.250, 0.375), I at (0.041, 0.063, 0.653) and Cl at (0.000, 0.250, 0.125).

For the total magnetization, the calculation gives 2.17 μB per formula unit. Its raw total energy is -2.161 eV/atom. As for the crystal system: cubic. The value obtained for the uncorrected formation energy is -0.1973 eV per atom. Its volume is 6141 Å³ per cell. The density of states at the Fermi level is 227.766 states/eV/cell.



(4)
Material: GaICl3
Method: DFT, PBE
State: relaxed

The structure belongs to space group P2_1/c (No. 14); the cell edges are 10.910, 7.438 and 14.312 Å and the angles 90.00°, 129.65° and 90.00°. Symmetry generates all atoms from Ga at (0.054, 0.186, 0.079), I at (0.429, 0.110, 0.028), Cl at (0.043, 0.742, 0.837), Cl at (0.146, 0.610, 0.625) and Cl at (0.225, 0.144, 0.595).

For the total magnetization, the calculation gives 0.00 μB per formula unit. Its raw total energy is -2.872 eV/atom. As for the crystal system: monoclinic. The value obtained for the uncorrected formation energy is -0.8482 eV per atom. Its volume is 894 Å³ per cell. The density of states at the Fermi level is 0.000 states/eV/cell.